(1)
Material: CaSb2Ir
Method: DFT, PBE-GGA
State: relaxed

- SG: Imm2, No. 44
- Raw formation energy: -0.300 eV/atom

extended XYZ file:
```
4
Lattice="-1.7616 1.9855 7.0609 1.7616 -1.9855 7.0609 1.7616 1.9855 -7.0609" Properties=species:S:1:pos:R:3 pbc="T T T"
Ca 0.0000 0.0000 0.0000
Sb 0.0000 0.0000 5.2564
Sb 0.0000 1.9855 2.4068
Ir 1.7616 0.0000 3.2634
```

***

(2)
Material: Ca2SbIr
Method: DFT, PBE-GGA
State: relaxed

- SG: Cmmm, No. 65
- Raw formation energy: -0.394 eV/atom

extended XYZ file:
```
4
Lattice="3.2221 -4.1530 0.0000 3.2221 4.1530 0.0000 0.0000 0.0000 3.4616" Properties=species:S:1:pos:R:3 pbc="T T T"
Ca 1.6111 2.0765 0.0000
Ca 1.6111 -2.0765 0.0000
Sb 0.0000 0.0000 1.7308
Ir 3.2221 0.0000 1.7308
```

***

| no. | calculated total energy (eV per atom) |
| --- | --- |
| 1 | -5.076 |
| 2 | -4.640 |